# CePu2ThN4

A relaxed CePu2ThN4 crystal (GGA-PBE, Alexandria).

abc: 3.5641 6.1655 6.1422
angles: 109.53 90.00 90.00
With the nearest neighbours (Å) after each atom.
Sites, in units of the cell vectors:
Ce1 0.0000 0.0000 0.0000  6 N 2.55-2.56
Pu1 0.5000 0.0000 0.5000  6 N 2.48
Pu2 0.0000 0.5000 0.5000  6 N 2.48
Th1 0.5000 0.5000 0.0000  6 N 2.55
N1 0.5000 0.2542 0.2616  3 Pu 2.48, 1 Th 2.55, 2 Ce 2.56
N2 0.5000 0.7458 0.7384  3 Pu 2.48, 1 Th 2.55, 2 Ce 2.56
N3 0.0000 0.2461 0.7392  3 Pu 2.48, 1 Ce 2.55, 2 Th 2.55
N4 0.0000 0.7539 0.2608  3 Pu 2.48, 1 Ce 2.55, 2 Th 2.55

Energy relative to the elements, uncorrected (eV/atom): -1.40
Space-group type: No. 10
Total magnetization (μB per formula unit): 10.5
ρ (g cm⁻³): 12.0

=====

# Ce2PuTh3N6

A relaxed Ce2PuTh3N6 crystal (GGA-PBE, Alexandria).

abc: 6.2637 6.2637 6.2404
angles: 99.62 99.62 120.03
With the nearest neighbours (Å) after each atom.
Sites, in units of the cell vectors:
Ce1 0.3334 0.6666 0.0000  6 N 2.55-2.56
Ce2 0.6666 0.3334 0.0000  6 N 2.55-2.56
Pu1 0.0000 0.0000 0.0000  6 N 2.53-2.54
Th1 0.1668 0.8332 0.5000  6 N 2.55-2.58
Th2 0.8332 0.1668 0.5000  6 N 2.55-2.58
Th3 0.5000 0.5000 0.5000  6 N 2.56-2.57
N1 0.9179 0.5870 0.7536  1 Pu 2.53, 2 Ce 2.55, 3 Th 2.56-2.58
N2 0.7522 0.7522 0.2488  1 Pu 2.54, 3 Th 2.55-2.57, 2 Ce 2.56
N3 0.0821 0.4130 0.2464  1 Pu 2.53, 2 Ce 2.55, 3 Th 2.56-2.58
N4 0.5870 0.9179 0.7536  1 Pu 2.53, 2 Ce 2.55, 3 Th 2.56-2.58
N5 0.2478 0.2478 0.7512  1 Pu 2.54, 3 Th 2.55-2.57, 2 Ce 2.56
N6 0.4130 0.0821 0.2464  1 Pu 2.53, 2 Ce 2.55, 3 Th 2.56-2.58

Energy relative to the elements, uncorrected (eV/atom): -1.49
Space-group type: No. 12
Total magnetization (μB per formula unit): 5.5
ρ (g cm⁻³): 10.8

=====

# CePuTh2N4

A relaxed CePuTh2N4 crystal (GGA-PBE, Alexandria).

abc: 3.6098 6.2552 6.2294
angles: 109.68 90.00 90.00
With the nearest neighbours (Å) after each atom.
Sites, in units of the cell vectors:
Ce1 0.5000 0.5000 0.0000  6 N 2.54-2.55
Pu1 0.0000 0.0000 0.0000  6 N 2.52-2.54
Th1 0.5000 0.0000 0.5000  6 N 2.55-2.56
Th2 0.0000 0.5000 0.5000  6 N 2.56-2.58
N1 0.5000 0.2451 0.2438  2 Pu 2.52, 1 Ce 2.55, 3 Th 2.56-2.58
N2 0.5000 0.7549 0.7562  2 Pu 2.52, 1 Ce 2.55, 3 Th 2.56-2.58
N3 0.0000 0.2502 0.7523  1 Pu 2.54, 2 Ce 2.54, 3 Th 2.55-2.56
N4 0.0000 0.7498 0.2477  1 Pu 2.54, 2 Ce 2.54, 3 Th 2.55-2.56

Energy relative to the elements, uncorrected (eV/atom): -1.47
Space-group type: No. 10
Total magnetization (μB per formula unit): 5.3
ρ (g cm⁻³): 11.3

=====

# Ce3PuTh2N6

A relaxed Ce3PuTh2N6 crystal (GGA-PBE, Alexandria).

abc: 6.2292 6.2292 6.2302
angles: 99.58 99.58 120.03
With the nearest neighbours (Å) after each atom.
Sites, in units of the cell vectors:
Ce1 0.1655 0.8345 0.5000  6 N 2.53-2.57
Ce2 0.8345 0.1655 0.5000  6 N 2.53-2.57
Ce3 0.5000 0.5000 0.5000  6 N 2.54-2.56
Pu1 0.0000 0.0000 0.0000  6 N 2.52
Th1 0.3332 0.6668 0.0000  6 N 2.55
Th2 0.6668 0.3332 0.0000  6 N 2.55
N1 0.9170 0.5872 0.7506  1 Pu 2.52, 3 Ce 2.54-2.57, 2 Th 2.55
N2 0.7532 0.7532 0.2497  1 Pu 2.52, 3 Ce 2.53-2.56, 2 Th 2.55
N3 0.0830 0.4128 0.2494  1 Pu 2.52, 3 Ce 2.54-2.57, 2 Th 2.55
N4 0.5872 0.9170 0.7506  1 Pu 2.52, 3 Ce 2.54-2.57, 2 Th 2.55
N5 0.2468 0.2468 0.7503  1 Pu 2.52, 3 Ce 2.53-2.56, 2 Th 2.55
N6 0.4128 0.0830 0.2494  1 Pu 2.52, 3 Ce 2.54-2.57, 2 Th 2.55

Energy relative to the elements, uncorrected (eV/atom): -1.48
Space-group type: No. 12
Total magnetization (μB per formula unit): 6.2
ρ (g cm⁻³): 10.2

=====

What is the total magnetization in the second record? 5.5 μB per formula unit

=====

Look up the total magnetization of the first one. 10.5 μB per formula unit